! Dy2FeSi4Ir3 | Alexandria | GGA-PBE | relaxed; values from VASP
! DFT total energy = -7.5313 eV/atom
! volume = 164.7 Å³/cell
! symmetry = P-4m2, No. 115
! formation energy without anion corrections = -0.937 eV per atom
&SYSTEM
  ibrav = 0, nat = 10, ntyp = 4
/
ATOMIC_SPECIES
Dy 162.50 Dy.upf
Fe 55.84 Fe.upf
Si 28.09 Si.upf
Ir 192.22 Ir.upf
CELL_PARAMETERS angstrom
4.113 0.000 0.000
0.000 4.113 0.000
0.000 0.000 9.741
ATOMIC_POSITIONS crystal
Dy 0.000 0.500 0.247
Dy 0.500 0.000 0.753
Fe 0.500 0.500 0.000
Si 0.000 0.000 0.500
Si 0.000 0.500 0.877
Si 0.500 0.000 0.123
Si 0.500 0.500 0.500
Ir 0.000 0.000 0.000
Ir 0.000 0.500 0.630
Ir 0.500 0.000 0.370


! DyZrFeIr | Alexandria | GGA-PBE | relaxed; values from VASP
! energy relative to the elements = -0.41 eV per atom
! DFT total energy = -8.0250 eV/atom
! volume = 293.0 Å³/cell
! symmetry = F-43m, No. 216
&SYSTEM
  ibrav = 0, nat = 16, ntyp = 4
/
ATOMIC_SPECIES
Dy 162.50 Dy.upf
Zr 91.22 Zr.upf
Fe 55.84 Fe.upf
Ir 192.22 Ir.upf
CELL_PARAMETERS angstrom
6.642 0.000 0.000
0.000 6.642 0.000
0.000 0.000 6.642
ATOMIC_POSITIONS crystal
Dy 0.000 0.000 0.000
Dy 0.000 0.500 0.500
Dy 0.500 0.000 0.500
Dy 0.500 0.500 0.000
Zr 0.000 0.000 0.500
Zr 0.000 0.500 0.000
Zr 0.500 0.000 0.000
Zr 0.500 0.500 0.500
Fe 0.250 0.250 0.750
Fe 0.250 0.750 0.250
Fe 0.750 0.250 0.250
Fe 0.750 0.750 0.750
Ir 0.250 0.250 0.250
Ir 0.250 0.750 0.750
Ir 0.750 0.250 0.750
Ir 0.750 0.750 0.250


Number 1: N(E_F) 5.9 states/eV/f.u.. Number 2: N(E_F) 2.9 states/eV/f.u..